(1)
# PBE-GGA MnZn2Cd, optimized geometry
# Formation enthalpy at 0 K ... 0.113 eV per atom
# Crystal system ... tetragonal
# Magnetization ... 3.07 μB/cell
# Final energy ... -3.046 eV/atom
data_MnZn2Cd
_chemical_formula_sum 'Mn1 Zn2 Cd1'
_symmetry_space_group_name_H-M 'P 4/m m m'
_symmetry_Int_Tables_number 123
_symmetry_space_group_name_Hall '-P 4 2'
_cell_length_a 4.1365
_cell_length_b 4.1365
_cell_length_c 3.7231
_cell_angle_alpha 90.00
_cell_angle_beta 90.00
_cell_angle_gamma 90.00
loop_
_atom_site_label
_atom_site_fract_x
_atom_site_fract_y
_atom_site_fract_z
_atom_site_occupancy
Mn1 0.0000 0.0000 0.0000 1
Zn1 0.0000 0.5000 0.5000 1
Cd1 0.5000 0.5000 0.0000 1

(2)
# PBE-GGA Sm2NpP3Rh12, optimized geometry
# Formation enthalpy at 0 K ... -0.316 eV per atom
# Crystal system ... trigonal
# Magnetization ... 2.29 μB/cell
# Final energy ... -7.362 eV/atom
data_Sm2NpP3Rh12
_chemical_formula_sum 'Sm6 Np3 P9 Rh36'
_symmetry_space_group_name_H-M 'R -3 m'
_symmetry_Int_Tables_number 166
_symmetry_space_group_name_Hall '-R 3 2"'
_cell_length_a 8.1722
_cell_length_b 8.1722
_cell_length_c 17.1580
_cell_angle_alpha 90.00
_cell_angle_beta 90.00
_cell_angle_gamma 120.00
loop_
_atom_site_label
_atom_site_fract_x
_atom_site_fract_y
_atom_site_fract_z
_atom_site_occupancy
Sm1 0.0000 0.0000 0.0985 1
Np1 0.0000 0.0000 0.5000 1
P1 0.0000 0.5000 0.0000 1
Rh1 0.0110 0.5055 0.8682 1
Rh2 0.0467 0.5234 0.3606 1

(3)
# PBE-GGA Tc2HgPt, optimized geometry
# Formation enthalpy at 0 K ... 0.421 eV per atom
# Crystal system ... tetragonal
# Magnetization ... 0.00 μB/cell
# Final energy ... -6.348 eV/atom
data_Tc2HgPt
_chemical_formula_sum 'Tc2 Hg1 Pt1'
_symmetry_space_group_name_H-M 'P 4/m m m'
_symmetry_Int_Tables_number 123
_symmetry_space_group_name_Hall '-P 4 2'
_cell_length_a 3.8426
_cell_length_b 3.8426
_cell_length_c 4.3905
_cell_angle_alpha 90.00
_cell_angle_beta 90.00
_cell_angle_gamma 90.00
loop_
_atom_site_label
_atom_site_fract_x
_atom_site_fract_y
_atom_site_fract_z
_atom_site_occupancy
Tc1 0.0000 0.5000 0.0000 1
Hg1 0.0000 0.0000 0.5000 1
Pt1 0.5000 0.5000 0.5000 1

(4)
# PBE-GGA Ac2TbMg3, optimized geometry
# Formation enthalpy at 0 K ... -0.071 eV per atom
# Crystal system ... tetragonal
# Magnetization ... 0.00 μB/cell
# Final energy ... -3.010 eV/atom
data_Ac2TbMg3
_chemical_formula_sum 'Ac2 Tb1 Mg3'
_symmetry_space_group_name_H-M 'P 4/m m m'
_symmetry_Int_Tables_number 123
_symmetry_space_group_name_Hall '-P 4 2'
_cell_length_a 4.0041
_cell_length_b 4.0041
_cell_length_c 12.0832
_cell_angle_alpha 90.00
_cell_angle_beta 90.00
_cell_angle_gamma 90.00
loop_
_atom_site_label
_atom_site_fract_x
_atom_site_fract_y
_atom_site_fract_z
_atom_site_occupancy
Ac1 0.0000 0.0000 0.1772 1
Tb1 0.0000 0.0000 0.5000 1
Mg1 0.5000 0.5000 0.0000 1
Mg2 0.5000 0.5000 0.3570 1

> Which of these has the highest final energy?

Ac2TbMg3

Please write out number 4 again, unchanged.
# PBE-GGA Ac2TbMg3, optimized geometry
# Formation enthalpy at 0 K ... -0.071 eV per atom
# Crystal system ... tetragonal
# Magnetization ... 0.00 μB/cell
# Final energy ... -3.010 eV/atom
data_Ac2TbMg3
_chemical_formula_sum 'Ac2 Tb1 Mg3'
_symmetry_space_group_name_H-M 'P 4/m m m'
_symmetry_Int_Tables_number 123
_symmetry_space_group_name_Hall '-P 4 2'
_cell_length_a 4.0041
_cell_length_b 4.0041
_cell_length_c 12.0832
_cell_angle_alpha 90.00
_cell_angle_beta 90.00
_cell_angle_gamma 90.00
loop_
_atom_site_label
_atom_site_fract_x
_atom_site_fract_y
_atom_site_fract_z
_atom_site_occupancy
Ac1 0.0000 0.0000 0.1772 1
Tb1 0.0000 0.0000 0.5000 1
Mg1 0.5000 0.5000 0.0000 1
Mg2 0.5000 0.5000 0.3570 1